# 1
Material: K2CoTc
Method: DFT, PBE
State: optimized geometry

Results
Energy relative to the lowest polymorph listed for this composition in eV/f.u.: 1.09
Formation energy from the elements in kJ/mol of atoms: 100

a = 6.893 Å, b = 6.893 Å, c = 6.893 Å
α = 151.72°, β = 128.96°, γ = 59.37°
Site moments in Bohr magnetons follow the coordinates.
Element x y z (fractional)
Co (0.694, 0.194, 0.500)  1.39
Tc (0.572, 0.572, 0.000)  1.50
K (0.267, 0.767, 0.500)  0.00
K (0.968, 0.968, 0.000)  0.02

---

# 2
Material: SiRh2NCl
Method: DFT, PBE
State: optimized geometry

Results
E_form (uncorrected) in kJ/mol of atoms: 50

a = 3.858 Å, b = 5.757 Å, c = 3.858 Å
α = 90.00°, β = 90.00°, γ = 90.00°
Element x y z (fractional)
Rh (0.500, 0.000, 0.000)
Rh (0.000, 0.000, 0.500)
Si (0.500, 0.500, 0.500)
N (0.000, 0.000, 0.000)
Cl (0.000, 0.500, 0.000)